Entry 1:
Here is a geometry-optimized Na2ZnPt2 structure from Alexandria via LeMat-Bulk. Energies are from PBE.

Properties
* formation energy: -0.290 eV/atom
* offset from the most stable computed form: 19 meV/atom

CIF file:
```
data_Na2ZnPt2
_cell_length_a 6.4618
_cell_length_b 6.4618
_cell_length_c 4.7119
_cell_angle_alpha 90.00
_cell_angle_beta 90.00
_cell_angle_gamma 90.00
_symmetry_space_group_name_H-M 'P 4/m b m'
_symmetry_Int_Tables_number 127
_symmetry_space_group_name_Hall '-P 4 2ab'
loop_
_atom_site_label
_atom_site_type_symbol
_atom_site_fract_x
_atom_site_fract_y
_atom_site_fract_z
Na1 Na 0.1672 0.3328 0.0000
Zn1 Zn 0.0000 0.0000 0.5000
Pt1 Pt 0.1409 0.6409 0.5000
```

Entry 2:
Here is a geometry-optimized Ta2CuCl structure from Alexandria via LeMat-Bulk. Energies are from PBE.

Properties
* formation energy without anion corrections: 0.741 eV per atom
* offset from the most stable computed form: 740 meV/atom

CIF file:
```
data_Ta2CuCl
_cell_length_a 3.8037
_cell_length_b 3.8037
_cell_length_c 9.1286
_cell_angle_alpha 90.00
_cell_angle_beta 90.00
_cell_angle_gamma 90.00
_symmetry_space_group_name_H-M 'I -4 m 2'
_symmetry_Int_Tables_number 119
_symmetry_space_group_name_Hall 'I -4 -2'
loop_
_atom_site_label
_atom_site_type_symbol
_atom_site_fract_x
_atom_site_fract_y
_atom_site_fract_z
Ta1 Ta 0.0000 0.0000 0.0000
Ta2 Ta 0.0000 0.5000 0.2500
Cu1 Cu 0.0000 0.0000 0.5000
Cl1 Cl 0.0000 0.5000 0.7500
```

Entry 3:
Here is a geometry-optimized SnAsN2F structure from Alexandria via LeMat-Bulk. Energies are from PBE.

Properties
* formation energy without anion corrections: 0.584 eV per atom
* offset from the most stable computed form: 270 meV/atom

CIF file:
```
data_SnAsN2F
_cell_length_a 4.1761
_cell_length_b 4.1761
_cell_length_c 4.0230
_cell_angle_alpha 90.00
_cell_angle_beta 90.00
_cell_angle_gamma 90.00
_symmetry_space_group_name_H-M 'P 4/m m m'
_symmetry_Int_Tables_number 123
_symmetry_space_group_name_Hall '-P 4 2'
loop_
_atom_site_label
_atom_site_type_symbol
_atom_site_fract_x
_atom_site_fract_y
_atom_site_fract_z
Sn1 Sn 0.0000 0.0000 0.0000
As1 As 0.5000 0.5000 0.5000
N1 N 0.0000 0.5000 0.0000
F1 F 0.0000 0.0000 0.5000
```

Entry 4:
Here is a geometry-optimized Pr4HgGeO structure from Alexandria via LeMat-Bulk. Energies are from PBE.

Properties
* formation energy without anion corrections: -1.123 eV per atom

CIF file:
```
data_Pr4HgGeO
_cell_length_a 6.8084
_cell_length_b 16.3654
_cell_length_c 6.8244
_cell_angle_alpha 90.00
_cell_angle_beta 90.00
_cell_angle_gamma 90.00
_symmetry_space_group_name_H-M 'C m c m'
_symmetry_Int_Tables_number 63
_symmetry_space_group_name_Hall '-C 2c 2'
loop_
_atom_site_label
_atom_site_type_symbol
_atom_site_fract_x
_atom_site_fract_y
_atom_site_fract_z
Pr1 Pr 0.0000 0.0705 0.2500
Pr2 Pr 0.0000 0.4242 0.2500
Pr3 Pr 0.2500 0.2500 0.0000
Hg1 Hg 0.0000 0.3864 0.7500
Ge1 Ge 0.0000 0.1150 0.7500
O1 O 0.0000 0.2558 0.2500
```